A relaxed Y3Ho5Tm crystal, computed with PBE-GGA.

Geometry as POSCAR:
```
Y3Ho5Tm
1.0
9.6777 0.0000 0.0000
-4.8389 8.3811 0.0000
0.0000 0.0000 6.9642
Y Ho Tm
6 10 2
Cartesian
-1.7393 3.0126 1.7411 Y
-3.0996 5.3686 5.2232 Y
3.4786 0.0000 1.7411 Y
1.7393 3.0126 5.2232 Y
6.1991 0.0000 5.2232 Y
3.0996 5.3686 1.7411 Y
-1.4741 2.5533 5.2232 Ho
-3.3647 5.8279 1.7411 Ho
2.9483 0.0000 5.2232 Ho
1.4741 2.5533 1.7411 Ho
0.0000 5.5874 0.0000 Ho
0.0000 5.5874 3.4821 Ho
4.8389 2.7937 0.0000 Ho
4.8389 2.7937 3.4821 Ho
6.7294 0.0000 1.7411 Ho
3.3647 5.8279 5.2232 Ho
0.0000 0.0000 0.0000 Tm
0.0000 0.0000 3.4821 Tm
```

Properties
Total magnetic moment   0.0 μB/f.u.
Formation energy   57 meV per atom
E_tot   -92.48 eV/cell
Theoretical density   7.4 g/cm3
E above lowest polymorph   0.0 meV/atom